Entry from Alexandria: crystalline NbRhBr3 at its relaxed geometry (PBE).

## Properties
M_tot	0.00	Bohr magnetons per cell
formation energy from raw total energies	2.83	eV/f.u.
offset from the most stable computed form	0	meV/atom
total DFT energy (no corrections)	-3.921	eV/atom

Cell: 5.143 5.143 5.143 Å, 90.00 90.00 90.00°
Atoms (fractional coordinates):
Nb: 0.000 0.000 0.000
Rh: 0.500 0.500 0.500
Br: 0.000 0.000 0.500
Br: 0.000 0.500 0.000
Br: 0.500 0.000 0.000

Entry from Alexandria: crystalline Th2Ni4Ge3Sb at its relaxed geometry (PBE).

## Properties
M_tot	0.00	Bohr magnetons per cell
formation energy from raw total energies	-6.77	eV/f.u.
total DFT energy (no corrections)	-6.271	eV/atom

Cell: 4.247 4.247 9.821 Å, 90.00 90.00 90.00°
Atoms (fractional coordinates):
Th: 0.000 0.500 0.230
Th: 0.500 0.000 0.770
Ni: 0.000 0.000 0.000
Ni: 0.000 0.500 0.635
Ni: 0.500 0.000 0.365
Ni: 0.500 0.500 0.000
Ge: 0.000 0.500 0.876
Ge: 0.500 0.000 0.124
Ge: 0.500 0.500 0.500
Sb: 0.000 0.000 0.500

Question: Which value of total DFT energy (no corrections) does entry 2 give?
Answer: -6.271 eV/atom